# 1
MgMn3: relaxed, PBE.

```
MgMn3
1.0
-1.8846 1.7806 0.8734
0.3553 -0.8823 2.5652
5.2818 5.0902 1.0193
Mg Mn
1 3
direct
0.0000 0.0000 0.0000 Mg
0.5000 0.5000 0.2888 Mn
0.5000 0.5000 0.7112 Mn
0.0000 0.0000 0.5000 Mn
```

Values from the calculation:
Total energy in eV per atom: -7.05
Space group: No. 123
ΔH_f (0 K) in kJ/mol of formula units: 88

# 2
Mg3Mn2: relaxed, PBE.

```
Mg3Mn2
1.0
0.0000 4.8959 7.0058
2.6612 0.0000 7.0058
2.6612 4.8959 0.0000
Mg Mn
6 4
direct
0.1683 0.3317 0.3317 Mg
0.5219 0.7727 0.9023 Mg
0.3477 0.4468 0.7281 Mg
0.9183 0.0817 0.0817 Mg
0.4773 0.7281 0.4468 Mg
0.8032 0.9023 0.7727 Mg
0.9053 0.1872 0.5562 Mn
0.0628 0.3447 0.8987 Mn
0.6938 0.8987 0.3447 Mn
0.3513 0.5562 0.1872 Mn
```

Values from the calculation:
Total energy in eV per atom: -4.33
Space group: No. 43
Relative energy among the computed polymorphs in eV/atom: 0.000
ΔH_f (0 K) in kJ/mol of formula units: 143

# 3
MgMn3: relaxed, PBE.

```
MgMn3
1.0
-4.2534 -4.8447 5.9954
-1.7660 -4.9369 7.0721
-3.3990 -2.8391 7.6088
Mn Mg
3 1
direct
0.5000 0.5000 0.5000 Mn
0.7582 0.7582 0.7582 Mn
0.2418 0.2418 0.2418 Mn
0.0000 0.0000 0.0000 Mg
```

Values from the calculation:
Total energy in eV per atom: -6.94
Space group: No. 166
ΔH_f (0 K) in kJ/mol of formula units: 129

# 4
MgMn2: relaxed, PBE.

```
MgMn2
1.0
1.4252 5.3287 0.0012
-1.4252 5.3287 0.0012
0.0000 1.7096 6.2071
Mn Mg
4 2
direct
0.6990 0.6990 0.8644 Mn
0.3010 0.3010 0.1356 Mn
0.3444 0.3444 0.5341 Mn
0.6556 0.6556 0.4659 Mn
0.0243 0.0243 0.2125 Mg
0.9757 0.9757 0.7875 Mg
```

Values from the calculation:
Total energy in eV per atom: -6.29
Space group: No. 12
ΔH_f (0 K) in kJ/mol of formula units: 102

# 5
Mg2Mn: relaxed, PBE.

```
Mg2Mn
1.0
3.2479 -4.3775 0.2855
1.1319 4.5686 2.7639
-4.6997 -1.7160 2.1817
Mn Mg
2 4
direct
0.7500 0.7500 0.0000 Mn
0.2500 0.2500 0.0000 Mn
0.3354 0.1646 0.5000 Mg
0.1646 0.6646 0.8292 Mg
0.6646 0.8354 0.5000 Mg
0.8354 0.3354 0.1708 Mg
```

Values from the calculation:
Total energy in eV per atom: -3.86
Space group: No. 140
ΔH_f (0 K) in kJ/mol of formula units: 76

# 6
Mg3Mn2: relaxed, PBE.

```
Mg3Mn2
1.0
12.0560 -1.4974 -0.0009
12.0560 1.4974 -0.0009
11.8702 0.0000 2.5861
Mg Mn
3 2
direct
0.0000 0.0000 0.0000 Mg
0.7952 0.7952 0.7952 Mg
0.2048 0.2048 0.2048 Mg
0.6023 0.6023 0.6023 Mn
0.3977 0.3977 0.3977 Mn
```

Values from the calculation:
Total energy in eV per atom: -4.32
Space group: No. 166
Relative energy among the computed polymorphs in eV/atom: 0.002
ΔH_f (0 K) in kJ/mol of formula units: 145

# 7
MgMn: relaxed, PBE.

```
MgMn
1.0
4.6997 0.0000 0.0000
0.0000 2.9273 0.0030
0.0000 2.9230 4.9987
Mn Mg
2 2
direct
0.7500 0.1679 0.8321 Mn
0.2500 0.8321 0.1679 Mn
0.7500 0.1847 0.3153 Mg
0.2500 0.8153 0.6847 Mg
```

Values from the calculation:
Total energy in eV per atom: -5.08
Space group: No. 51
ΔH_f (0 K) in kJ/mol of formula units: 59

# 8
MgMn3: relaxed, PBE.

```
MgMn3
1.0
2.6451 0.0000 0.0000
-1.3225 2.2907 0.0000
0.0000 0.0000 8.5777
Mn Mg
3 1
direct
0.6667 0.3333 0.7257 Mn
0.6667 0.3333 0.2743 Mn
0.0000 0.0000 0.5000 Mn
0.0000 0.0000 0.0000 Mg
```

Values from the calculation:
Total energy in eV per atom: -6.93
Space group: No. 187
ΔH_f (0 K) in kJ/mol of formula units: 132

| no. | density (kg/m3) |
| --- | --- |
| 1 | 5665 |
| 2 | 3325 |
| 3 | 5690 |
| 4 | 4727 |
| 5 | 2842 |
| 6 | 3250 |
| 7 | 3829 |
| 8 | 6042 |